[1]
Density functional theory data (GGA-PBE) for a geometry-optimized HfCu2Ni2 structure.

Cell and atoms, written as CIF:
```
data_HfCu2Ni2
_chemical_formula_sum 'Hf2 Cu4 Ni4'
_cell_length_a 6.8777
_cell_length_b 6.8777
_cell_length_c 2.8198
_cell_angle_alpha 90.00
_cell_angle_beta 90.00
_cell_angle_gamma 90.00
_symmetry_space_group_name_H-M 'P 4/m b m'
_symmetry_Int_Tables_number 127
_symmetry_space_group_name_Hall '-P 4 2ab'
loop_
_atom_site_label
_atom_site_fract_x
_atom_site_fract_y
_atom_site_fract_z
Hf1 0.0000 0.0000 0.0000
Cu1 0.1243 0.3757 0.0000
Ni1 0.1712 0.6712 0.5000
```

[2]
Density functional theory data (GGA-PBE) for a geometry-optimized PmSm6Dy2Mg structure.

Cell and atoms, written as CIF:
```
data_PmSm6Dy2Mg
_chemical_formula_sum 'Pm4 Sm24 Dy8 Mg4'
_cell_length_a 9.3474
_cell_length_b 15.6819
_cell_length_c 8.9416
_cell_angle_alpha 90.00
_cell_angle_beta 91.51
_cell_angle_gamma 90.00
_symmetry_space_group_name_H-M 'C 1 2/c 1'
_symmetry_Int_Tables_number 15
loop_
_symmetry_equiv_pos_as_xyz
'x,y,z'
'-x,-y,-z'
'-x,y,-z+1/2'
'x,-y,z+1/2'
'x+1/2,y+1/2,z'
'-x+1/2,-y+1/2,-z'
'-x+1/2,y+1/2,-z+1/2'
'x+1/2,-y+1/2,z+1/2'
loop_
_atom_site_label
_atom_site_fract_x
_atom_site_fract_y
_atom_site_fract_z
Pm1 0.0000 0.0342 0.2500
Sm1 0.0425 0.1644 0.9484
Sm2 0.1010 0.3701 0.0910
Sm3 0.2470 0.2123 0.3017
Dy1 0.2301 0.4487 0.4449
Mg1 0.0000 0.4378 0.7500
```

no.,ρ (g cm⁻³),calculated formation energy (eV/f.u.)
1,10.5,-0.391
2,7.1,1.178